# Li2Fe3CuO8

Li2Fe3CuO8 after structural relaxation (PBE with a Hubbard U, the Alexandria database).

Computed properties:
Magnetization   36.13 Bohr magnetons per cell
Uncorrected energy   -5.714 eV per atom
Mass density   4.3 g cm⁻³
Distance to the lowest polymorph of the same formula   99 meV/atom
N(E_F)   21.66 states/eV/cell

Cell lengths 8.301, 8.301, 8.301 Å; angles 90.00, 90.00, 90.00 degrees
Space group P4_332 (No. 212)
One atom of each set of equivalent atoms:
Li1 0.002 0.002 0.002 [8 per cell]
Fe1 0.123 0.127 0.625 [12 per cell]
Cu1 0.125 0.875 0.375 [4 per cell]
O1 0.108 0.116 0.388 [24 per cell]
O2 0.113 0.613 0.887 [8 per cell]